[1]
This record from Alexandria via LeMat-Bulk describes a geometry-optimized PmPuGa structure. The functional is PBE-GGA.

Results
- DFT formation energy (eV/atom) = -0.163
- excess energy over the best structure of this formula in the dataset (meV/atom) = 41

abc: 3.6289 3.6289 24.4548
angles: 90.00 90.00 90.00
Last column: nearest neighbours and their distance in Å.
Space group I4/mmm (No. 139)
Inequivalent atoms, fractional coordinates:
1 Pm 0.0000 0.0000 0.0757 x4  4 Ga 3.11, 1 Pu 3.41
2 Pu 0.0000 0.0000 0.2151 x4  5 Ga 3.05-3.36, 4 Pu 3.08, 1 Pm 3.41
3 Ga 0.0000 0.0000 0.3524 x4  5 Pu 3.05-3.36, 4 Pm 3.11

[2]
This record from Alexandria via LeMat-Bulk describes a geometry-optimized Mg2TaCo structure. The functional is PBE-GGA.

Results
- DFT formation energy (eV/atom) = 0.349
- excess energy over the best structure of this formula in the dataset (meV/atom) = 320

abc: 5.4013 9.6120 2.7296
angles: 90.00 109.00 90.00
Last column: nearest neighbours and their distance in Å.
Space group C2/m (No. 12)
Inequivalent atoms, fractional coordinates:
1 Mg 0.2500 0.2500 0.0000 x4  4 Mg 2.70-2.73, 2 Ta 2.87, 2 Co 2.87
2 Ta 0.0000 0.0000 0.5000 x2  2 Co 2.70, 2 Ta 2.73, 4 Mg 2.87
3 Co 0.0000 0.5000 0.5000 x2  2 Ta 2.70, 2 Co 2.73, 4 Mg 2.87

[3]
This record from Alexandria via LeMat-Bulk describes a geometry-optimized MnNbCo structure. The functional is PBE-GGA.

Results
- DFT formation energy (eV/atom) = 0.030
- excess energy over the best structure of this formula in the dataset (meV/atom) = 193

abc: 3.2817 12.4355 4.0422
angles: 90.00 90.00 90.00
Last column: nearest neighbours and their distance in Å.
Space group Cmcm (No. 63)
Inequivalent atoms, fractional coordinates:
1 Mn 0.0000 0.2424 0.2500 x4  4 Mn 2.61, 2 Co 2.62, 4 Nb 2.64-2.76
2 Nb 0.0000 0.0913 0.7500 x4  6 Co 2.61-2.67, 4 Mn 2.64-2.76
3 Co 0.0000 0.4215 0.7500 x4  6 Nb 2.61-2.67, 2 Mn 2.62, 2 Co 2.81

Repeat the second record exactly.
This record from Alexandria via LeMat-Bulk describes a geometry-optimized Mg2TaCo structure. The functional is PBE-GGA.

Results
- DFT formation energy (eV/atom) = 0.349
- excess energy over the best structure of this formula in the dataset (meV/atom) = 320

abc: 5.4013 9.6120 2.7296
angles: 90.00 109.00 90.00
Last column: nearest neighbours and their distance in Å.
Space group C2/m (No. 12)
Inequivalent atoms, fractional coordinates:
1 Mg 0.2500 0.2500 0.0000 x4  4 Mg 2.70-2.73, 2 Ta 2.87, 2 Co 2.87
2 Ta 0.0000 0.0000 0.5000 x2  2 Co 2.70, 2 Ta 2.73, 4 Mg 2.87
3 Co 0.0000 0.5000 0.5000 x2  2 Ta 2.70, 2 Co 2.73, 4 Mg 2.87

Question: What is the formula in the first record?
Answer: PmPuGa